Entry 1:
A plane-wave DFT calculation with PBE was carried out for ReSb2Se after structural relaxation.

a = 8.2302 Å, b = 8.2302 Å, c = 8.2302 Å
α = 24.80°, β = 24.80°, γ = 24.80°
With the nearest neighbours (Å) after each atom.
Fractional positions:
Se 0.2500 0.2500 0.2500  6 Sb 2.96
Sb 0.4938 0.4938 0.4938  3 Re 2.75, 3 Se 2.96
Sb 0.0062 0.0062 0.0062  3 Re 2.75, 3 Se 2.96
Re 0.7500 0.7500 0.7500  6 Sb 2.75

Values from the calculation:
Raw total energy: -5.69 eV/atom
Crystal system: trigonal
Calculated volume: 21.6 Å³ per atom
Symmetry: R-3m, No. 166

Entry 2:
A plane-wave DFT calculation with PBE was carried out for ReSbSe2 after structural relaxation.

a = 3.3310 Å, b = 5.4055 Å, c = 5.4086 Å
α = 59.67°, β = 90.00°, γ = 90.00°
With the nearest neighbours (Å) after each atom.
Fractional positions:
Re 0.5000 0.2500 0.2500  4 Se 2.52, 2 Sb 2.69
Se 0.0000 0.4514 0.4510  2 Re 2.52
Se 0.0000 0.0486 0.0490  2 Re 2.52
Sb 0.5000 0.7500 0.7500  2 Re 2.69

Values from the calculation:
Raw total energy: -5.77 eV/atom
Crystal system: orthorhombic
Calculated volume: 21.0 Å³ per atom
Symmetry: Cmmm, No. 65

Entry 3:
A plane-wave DFT calculation with PBE was carried out for ReSb2Se after structural relaxation.

a = 4.7962 Å, b = 4.7962 Å, c = 6.6399 Å
α = 72.33°, β = 72.33°, γ = 39.91°
With the nearest neighbours (Å) after each atom.
Fractional positions:
Sb 0.9207 0.9207 0.0137  2 Re 2.76, 1 Sb 3.00
Sb 0.7223 0.7223 0.7284  2 Re 2.83, 1 Se 2.97, 1 Sb 3.00
Se 0.5666 0.5666 0.3965  3 Re 2.55-2.58
Re 0.2904 0.2904 0.3614  3 Se 2.55-2.58, 4 Sb 2.76-2.83

Values from the calculation:
Raw total energy: -5.81 eV/atom
Crystal system: monoclinic
Calculated volume: 23.2 Å³ per atom
Symmetry: Cm, No. 8

Entry 4:
A plane-wave DFT calculation with PBE was carried out for ReSbSe2 after structural relaxation.

a = 3.2639 Å, b = 3.2639 Å, c = 9.3770 Å
α = 83.38°, β = 83.38°, γ = 59.63°
With the nearest neighbours (Å) after each atom.
Fractional positions:
Sb 0.2500 0.2500 0.2500  6 Sb 3.25-3.26, 6 Se 3.30-3.56
Se 0.0426 0.0426 0.9370  3 Re 2.56-2.57
Se 0.4574 0.4574 0.5630  3 Re 2.56-2.57
Re 0.7500 0.7500 0.7500  6 Se 2.56-2.57

Values from the calculation:
Raw total energy: -5.77 eV/atom
Crystal system: monoclinic
Calculated volume: 21.4 Å³ per atom
Symmetry: C2/m, No. 12

Entry 5:
A plane-wave DFT calculation with PBE was carried out for ReSbSe2 after structural relaxation.

a = 4.9818 Å, b = 4.9818 Å, c = 4.9818 Å
α = 127.55°, β = 127.55°, γ = 77.36°
With the nearest neighbours (Å) after each atom.
Fractional positions:
Se 0.0000 0.0000 0.0000  4 Se 2.94, 4 Sb 2.94, 4 Re 3.11
Se 0.2500 0.7500 0.5000  4 Se 2.94, 4 Re 2.94, 4 Sb 3.11
Re 0.5000 0.5000 0.0000  4 Sb 2.94, 8 Se 2.94-3.11
Sb 0.7500 0.2500 0.5000  8 Se 2.94-3.11, 4 Re 2.94

Values from the calculation:
Raw total energy: -5.12 eV/atom
Crystal system: tetragonal
Calculated volume: 18.8 Å³ per atom
Symmetry: I-4m2, No. 119

Entry 6:
A plane-wave DFT calculation with PBE was carried out for Re4SbSe8 after structural relaxation.

a = 6.4228 Å, b = 6.4169 Å, c = 9.2177 Å
α = 89.99°, β = 110.36°, γ = 119.98°
With the nearest neighbours (Å) after each atom.
Fractional positions:
Re 0.0000 0.5000 0.0000  6 Se 2.56-2.58
Re 0.5000 0.0000 0.0000  6 Se 2.56-2.57
Re 0.5000 0.5000 0.0000  6 Se 2.56-2.57
Re 0.0000 0.0000 0.0000  6 Se 2.56-2.57
Se 0.9719 0.2370 0.2090  3 Re 2.56
Se 0.9719 0.7350 0.2088  3 Re 2.56
Se 0.4746 0.7373 0.2118  3 Re 2.57-2.58
Se 0.5261 0.7630 0.7910  3 Re 2.56-2.57
Se 0.4739 0.2370 0.2090  3 Re 2.56-2.57
Se 0.0281 0.2650 0.7912  3 Re 2.56
Se 0.0281 0.7630 0.7910  3 Re 2.56
Se 0.5254 0.2627 0.7882  3 Re 2.57-2.58
Sb 0.0000 0.5000 0.5000  6 Se 3.07-3.08

Values from the calculation:
Raw total energy: -6.19 eV/atom
Crystal system: monoclinic
Calculated volume: 23.2 Å³ per atom
Symmetry: C2/m, No. 12

Entry 7:
A plane-wave DFT calculation with PBE was carried out for ReSbSe2 after structural relaxation.

a = 9.9531 Å, b = 9.9531 Å, c = 9.9531 Å
α = 18.21°, β = 18.21°, γ = 18.21°
With the nearest neighbours (Å) after each atom.
Fractional positions:
Se 0.9195 0.9195 0.9195  1 Re 2.36
Se 0.0805 0.0805 0.0805  1 Re 2.36
Sb 0.5000 0.5000 0.5000  6 Se 3.12, 6 Sb 3.15
Re 0.0000 0.0000 0.0000  2 Se 2.36

Values from the calculation:
Raw total energy: -5.18 eV/atom
Crystal system: trigonal
Calculated volume: 21.0 Å³ per atom
Symmetry: R-3m, No. 166

Entry 8:
A plane-wave DFT calculation with PBE was carried out for ReSb2Se after structural relaxation.

a = 6.3379 Å, b = 6.3379 Å, c = 7.5251 Å
α = 65.10°, β = 65.10°, γ = 90.00°
With the nearest neighbours (Å) after each atom.
Fractional positions:
Sb 0.3750 0.3310 0.7500  2 Re 2.55
Sb 0.6690 0.1250 0.2500  2 Re 2.55
Sb 0.8750 0.9190 0.7500  2 Re 2.55
Sb 0.0810 0.6250 0.2500  2 Re 2.55
Re 0.7500 0.2500 0.5000  4 Sb 2.55
Re 0.0000 0.0000 0.0000  4 Sb 2.55
Se 0.2500 0.7500 0.5000  4 Sb 2.88
Se 0.5000 0.5000 0.0000  4 Sb 2.88

Values from the calculation:
Raw total energy: -5.40 eV/atom
Crystal system: tetragonal
Calculated volume: 30.4 Å³ per atom
Symmetry: I-42d, No. 122

Entry 9:
A plane-wave DFT calculation with PBE was carried out for ReSbSe2 after structural relaxation.

a = 11.0878 Å, b = 11.0878 Å, c = 11.0878 Å
α = 16.50°, β = 16.50°, γ = 16.50°
With the nearest neighbours (Å) after each atom.
Fractional positions:
Se 0.8876 0.8876 0.8876  3 Re 2.56
Se 0.1124 0.1124 0.1124  3 Re 2.56
Sb 0.0000 0.0000 0.0000  6 Sb 3.18
Re 0.5000 0.5000 0.5000  6 Se 2.56

Values from the calculation:
Raw total energy: -5.76 eV/atom
Crystal system: trigonal
Calculated volume: 24.0 Å³ per atom
Symmetry: R-3m, No. 166

Entry 10:
A plane-wave DFT calculation with PBE was carried out for ReSbSe2 after structural relaxation.

a = 3.0705 Å, b = 3.0705 Å, c = 9.2452 Å
α = 90.00°, β = 90.00°, γ = 90.00°
With the nearest neighbours (Å) after each atom.
Fractional positions:
Se 0.0000 0.0000 0.9990  4 Se 3.07
Se 0.5000 0.5000 0.3286  4 Re 2.59
Sb 0.5000 0.5000 0.6919  4 Re 2.92, 4 Sb 3.07
Re 0.0000 0.0000 0.4805  4 Se 2.59

Values from the calculation:
Raw total energy: -5.62 eV/atom
Crystal system: tetragonal
Calculated volume: 21.8 Å³ per atom
Symmetry: P4mm, No. 99

Entry 11:
A plane-wave DFT calculation with PBE was carried out for ReSb2Se after structural relaxation.

a = 3.0332 Å, b = 3.0332 Å, c = 10.6754 Å
α = 90.00°, β = 90.00°, γ = 113.80°
With the nearest neighbours (Å) after each atom.
Fractional positions:
Sb 0.0000 0.0000 0.9580  2 Re 2.77, 4 Sb 3.03
Sb 0.0000 0.0000 0.5420  2 Re 2.77, 4 Sb 3.03
Se 0.5000 0.5000 0.2500  6 Se 3.03-3.31
Re 0.5000 0.5000 0.7500  4 Sb 2.77, 4 Re 3.03

Values from the calculation:
Raw total energy: -5.46 eV/atom
Crystal system: orthorhombic
Calculated volume: 22.5 Å³ per atom
Symmetry: Cmmm, No. 65

Entry 12:
A plane-wave DFT calculation with PBE was carried out for ReSbSe2 after structural relaxation.

a = 3.0733 Å, b = 3.0733 Å, c = 10.8000 Å
α = 90.00°, β = 90.00°, γ = 119.73°
With the nearest neighbours (Å) after each atom.
Fractional positions:
Sb 0.5000 0.5000 0.7500  6 Sb 3.07-3.09
Se 0.0000 0.0000 0.4369  2 Re 2.54
Se 0.0000 0.0000 0.0631  2 Re 2.54
Re 0.5000 0.5000 0.2500  4 Se 2.54

Values from the calculation:
Raw total energy: -5.36 eV/atom
Crystal system: orthorhombic
Calculated volume: 22.1 Å³ per atom
Symmetry: Cmmm, No. 65

Entry 13:
A plane-wave DFT calculation with PBE was carried out for Re4SbSe7 after structural relaxation.

a = 5.5682 Å, b = 5.1240 Å, c = 17.8814 Å
α = 90.00°, β = 90.00°, γ = 90.00°
With the nearest neighbours (Å) after each atom.
Fractional positions:
Se 0.5201 0.2974 0.6027  2 Re 2.43-2.51
Se 0.4866 0.7021 0.0000  2 Re 2.56, 1 Sb 2.76
Se 0.0047 0.7924 0.6244  3 Re 2.48-2.78
Se 0.0047 0.7924 0.3756  3 Re 2.48-2.78
Se 0.8988 0.1662 0.7538  3 Re 2.43-2.59
Se 0.3988 0.8338 0.7462  3 Re 2.43-2.59
Se 0.8988 0.1662 0.2462  3 Re 2.43-2.59
Se 0.9866 0.2979 0.5000  2 Re 2.56, 1 Sb 2.76
Se 0.0201 0.7026 0.8973  2 Re 2.43-2.51
Se 0.3988 0.8338 0.2538  3 Re 2.43-2.59
Se 0.5201 0.2974 0.3973  2 Re 2.43-2.51
Se 0.5047 0.2076 0.1244  3 Re 2.48-2.78
Se 0.5047 0.2076 0.8756  3 Re 2.48-2.78
Se 0.0201 0.7026 0.1027  2 Re 2.43-2.51
Re 0.6007 0.6779 0.8612  4 Se 2.43-2.56
Re 0.9744 0.6336 0.2411  4 Se 2.43-2.59
Re 0.4744 0.3664 0.2589  4 Se 2.43-2.59
Re 0.6007 0.6779 0.1388  4 Se 2.43-2.56
Re 0.1007 0.3221 0.3612  4 Se 2.43-2.56
Re 0.1007 0.3221 0.6388  4 Se 2.43-2.56
Re 0.4744 0.3664 0.7411  4 Se 2.43-2.59
Re 0.9744 0.6336 0.7589  4 Se 2.43-2.59
Sb 0.1710 0.2860 0.0000  5 Se 2.76-2.94
Sb 0.6710 0.7140 0.5000  5 Se 2.76-2.94

Values from the calculation:
Raw total energy: -6.38 eV/atom
Crystal system: orthorhombic
Calculated volume: 21.3 Å³ per atom
Symmetry: Pmn2_1, No. 31

Entry 14:
A plane-wave DFT calculation with PBE was carried out for ReSn2SbSe after structural relaxation.

a = 5.3824 Å, b = 5.3824 Å, c = 5.2874 Å
α = 90.00°, β = 90.00°, γ = 90.00°
With the nearest neighbours (Å) after each atom.
Fractional positions:
Sn 0.0000 0.5000 0.0000  2 Se 2.69
Sn 0.5000 0.0000 0.0000  2 Se 2.69
Sb 0.0000 0.0000 0.5000  2 Se 2.64
Re 0.5000 0.5000 0.5000  8 Sn 3.77, 4 Sb 3.81
Se 0.0000 0.0000 0.0000  2 Sb 2.64, 4 Sn 2.69

Values from the calculation:
Raw total energy: -4.11 eV/atom
Crystal system: tetragonal
Calculated volume: 30.6 Å³ per atom
Symmetry: P4/mmm, No. 123